Compound: ZnIF3
Source: Alexandria
Functional: PBE
Structure: relaxed

a b c (Å): 4.6876 4.6876 4.6876
angles (deg): 90.00 90.00 90.00
Closest atoms and distances in Å follow each position.
Fractional positions:
Zn: 0.0000 0.0000 0.0000  12 F 3.31
I: 0.5000 0.5000 0.5000  6 F 2.34
F: 0.0000 0.5000 0.5000  2 I 2.34
F: 0.5000 0.0000 0.5000  2 I 2.34
F: 0.5000 0.5000 0.0000  2 I 2.34

## Properties
magnetic moment: 0.42 μB/cell
crystal system: cubic
formation energy (no corrections): -3.1 eV per formula unit
DOS(E_F): 2.8 states/eV per cell
total energy: -2.307 eV per atom